# 1
# Bi6SbPb8

Bi6SbPb8 after structural relaxation (GGA-PBE, Alexandria via LeMat-Bulk).

Results
- Magnetization: 0.00 μB/f.u.
- Formation energy (no corrections): 62 meV per atom
- VASP energy: -3.74 eV/atom
- Space group: R-3

```
Bi6SbPb8
1.0
4.632 2.674 7.210
-4.632 2.674 7.210
0.000 -5.349 7.210
Bi Sb Pb
6 1 8
Cartesian
-1.405 -2.795 8.650
-3.124 -0.181 12.981
-1.718 2.615 8.650
1.718 -2.615 12.981
3.124 0.181 8.650
1.405 2.795 12.981
0.000 0.000 0.000
-3.062 -0.157 9.725
-1.396 -2.731 11.906
0.000 0.000 7.164
1.667 -2.574 9.725
-1.667 2.574 11.906
0.000 0.000 14.467
1.396 2.731 9.725
3.062 0.157 11.906
```

# 2
# Bi2SbPb8

Bi2SbPb8 after structural relaxation (GGA-PBE, Alexandria via LeMat-Bulk).

Results
- Magnetization: 0.00 μB/f.u.
- Formation energy (no corrections): 77 meV per atom
- VASP energy: -3.70 eV/atom
- Space group: C2/m

```
Bi2SbPb8
1.0
8.936 -3.452 0.000
8.936 3.452 0.000
-2.056 0.000 5.947
Bi Sb Pb
2 1 8
Cartesian
2.126 0.000 2.242
13.691 0.000 3.705
-1.028 0.000 2.973
7.354 1.615 0.511
2.414 0.000 5.627
8.462 1.615 5.436
5.296 0.000 3.181
10.521 0.000 2.766
7.354 -1.615 0.511
13.402 0.000 0.320
8.462 -1.615 5.436
```

# 3
# Bi4Sb2Pb

Bi4Sb2Pb after structural relaxation (GGA-PBE, Alexandria via LeMat-Bulk).

Results
- Magnetization: 0.00 μB/f.u.
- Formation energy (no corrections): 166 meV per atom
- VASP energy: -3.76 eV/atom
- Space group: Cmmm

```
Bi4Sb2Pb
1.0
1.700 -19.443 0.000
1.700 19.443 0.000
0.000 0.000 3.297
Bi Sb Pb
4 2 1
Cartesian
1.700 16.665 0.000
1.700 5.648 1.648
1.700 -5.648 1.648
1.700 -16.665 0.000
1.700 11.022 0.000
1.700 -11.022 0.000
1.700 0.000 1.648
```

# 4
# BiSbPb2

BiSbPb2 after structural relaxation (GGA-PBE, Alexandria via LeMat-Bulk).

Results
- Magnetization: 0.00 μB/f.u.
- Formation energy (no corrections): 100 meV per atom
- VASP energy: -3.75 eV/atom
- Space group: Fm-3m

```
BiSbPb2
1.0
0.000 3.939 3.939
3.939 0.000 3.939
3.939 3.939 0.000
Bi Sb Pb
1 1 2
Cartesian
0.000 0.000 0.000
3.939 3.939 3.939
1.970 1.970 1.970
5.909 5.909 5.909
```

# 5
# BiSbPb3

BiSbPb3 after structural relaxation (GGA-PBE, Alexandria via LeMat-Bulk).

Results
- Magnetization: 0.00 μB/f.u.
- Formation energy (no corrections): 72 meV per atom
- VASP energy: -3.75 eV/atom
- Space group: Pmc2_1

```
BiSbPb3
1.0
5.598 0.000 0.000
0.000 9.530 0.000
0.000 0.000 6.862
Bi Sb Pb
2 2 6
Cartesian
0.000 1.585 0.000
0.000 7.945 3.431
2.799 3.302 3.648
2.799 6.228 0.217
0.000 1.661 3.334
0.000 4.540 5.400
0.000 4.990 1.969
0.000 7.870 6.765
2.799 3.050 0.509
2.799 6.480 3.940
```

# 6
# BiSb2Pb5

BiSb2Pb5 after structural relaxation (GGA-PBE, Alexandria via LeMat-Bulk).

Results
- Magnetization: 0.00 μB/f.u.
- Formation energy (no corrections): 23 meV per atom
- VASP energy: -3.81 eV/atom
- Space group: Pbam

```
BiSb2Pb5
1.0
6.907 0.000 0.000
0.000 13.734 0.000
0.000 0.000 5.409
Bi Sb Pb
2 4 10
Cartesian
0.000 0.000 0.000
3.454 6.867 0.000
0.429 4.901 2.705
3.024 11.769 2.705
3.883 1.966 2.705
6.478 8.833 2.705
0.000 6.867 0.000
0.765 1.744 2.705
0.963 10.430 0.000
2.491 3.562 0.000
2.689 8.611 2.705
3.454 0.000 0.000
4.218 5.123 2.705
4.416 10.172 0.000
5.945 3.305 0.000
6.143 11.991 2.705
```

# 7
# BiSb2Pb2

BiSb2Pb2 after structural relaxation (GGA-PBE, Alexandria via LeMat-Bulk).

Results
- Magnetization: 0.00 μB/f.u.
- Formation energy (no corrections): 91 meV per atom
- VASP energy: -3.82 eV/atom
- Space group: P2/m

```
BiSb2Pb2
1.0
5.232 0.000 0.000
0.000 3.373 0.000
-2.499 0.000 8.635
Bi Sb Pb
1 2 2
Cartesian
0.000 0.000 0.000
0.044 0.000 3.395
2.688 0.000 5.240
0.087 1.687 6.812
2.646 1.687 1.823
```

# 8
# Bi3Sb3Pb10

Bi3Sb3Pb10 after structural relaxation (GGA-PBE, Alexandria via LeMat-Bulk).

Results
- Magnetization: 0.00 μB/f.u.
- Formation energy (no corrections): 52 meV per atom
- VASP energy: -3.77 eV/atom
- Space group: P1

```
Bi3Sb3Pb10
1.0
6.602 0.000 0.000
-0.273 9.371 0.000
-0.083 -4.638 8.436
Bi Sb Pb
3 3 10
Cartesian
0.000 0.000 0.000
0.024 1.329 5.108
5.238 5.932 3.297
2.347 2.515 3.335
2.633 8.354 0.058
3.452 -2.057 5.300
1.196 -1.119 3.095
1.090 4.897 5.331
2.355 5.378 1.600
2.822 0.792 6.748
3.007 2.268 0.071
4.425 0.086 2.827
4.340 3.680 5.696
5.788 1.338 8.433
6.111 2.950 1.749
6.313 -1.633 6.794
```

# 9
# Bi3Sb2Pb6

Bi3Sb2Pb6 after structural relaxation (GGA-PBE, Alexandria via LeMat-Bulk).

Results
- Magnetization: 0.00 μB/f.u.
- Formation energy (no corrections): 71 meV per atom
- VASP energy: -3.76 eV/atom
- Space group: R-3m

```
Bi3Sb2Pb6
1.0
2.259 1.304 21.295
-2.259 1.304 21.295
0.000 -2.608 21.295
Bi Sb Pb
3 2 6
Cartesian
0.000 0.000 0.000
0.000 0.000 17.366
0.000 0.000 46.518
0.000 0.000 29.133
0.000 0.000 34.751
0.000 0.000 5.857
0.000 0.000 11.837
0.000 0.000 23.255
0.000 0.000 40.629
0.000 0.000 52.047
0.000 0.000 58.027
```

# 10
# Bi2SbPb9

Bi2SbPb9 after structural relaxation (GGA-PBE, Alexandria via LeMat-Bulk).

Results
- Magnetization: 0.00 μB/f.u.
- Formation energy (no corrections): 22 meV per atom
- VASP energy: -3.75 eV/atom
- Space group: P4/mmm

```
Bi2SbPb9
1.0
5.013 0.000 0.000
0.000 5.013 0.000
0.000 0.000 15.106
Bi Sb Pb
2 1 9
Cartesian
0.000 0.000 2.549
0.000 0.000 12.557
0.000 0.000 7.553
0.000 2.507 0.000
0.000 2.507 5.086
0.000 2.507 10.020
2.507 0.000 0.000
2.507 0.000 5.086
2.507 0.000 10.020
2.507 2.507 2.539
2.507 2.507 7.553
2.507 2.507 12.567
```

# 11
# BiSbPb2

BiSbPb2 after structural relaxation (GGA-PBE, Alexandria via LeMat-Bulk).

Results
- Magnetization: 0.00 μB/f.u.
- Formation energy (no corrections): 75 meV per atom
- VASP energy: -3.78 eV/atom
- Space group: Cmcm

```
BiSbPb2
1.0
2.736 -11.106 0.000
2.736 11.106 0.000
0.000 0.000 4.558
Bi Sb Pb
2 2 4
Cartesian
2.736 9.920 3.419
2.736 -9.920 1.140
2.736 7.529 1.140
2.736 -7.529 3.419
2.736 5.282 3.419
2.736 1.359 3.419
2.736 -1.359 1.140
2.736 -5.282 1.140
```

# 12
# Sm6Bi3Sb2Pb

Sm6Bi3Sb2Pb after structural relaxation (GGA-PBE, Alexandria via LeMat-Bulk).

Results
- Magnetization: 0.00 μB/f.u.
- Formation energy (no corrections): -919 meV per atom
- VASP energy: -5.25 eV/atom
- Space group: C2/m

```
Sm6Bi3Sb2Pb
1.0
9.849 -2.258 0.000
9.849 2.258 0.000
-2.045 0.000 8.826
Sm Bi Sb Pb
6 3 2 1
Cartesian
-0.479 0.000 2.220
5.668 0.000 3.706
4.696 0.000 8.044
12.958 0.000 0.782
11.986 0.000 5.121
18.132 0.000 6.606
1.574 0.000 7.358
8.827 0.000 4.413
16.079 0.000 1.468
2.604 0.000 2.950
15.049 0.000 5.877
9.849 0.000 0.000
```

# 13
# Sr2BiSbPb

Sr2BiSbPb after structural relaxation (GGA-PBE, Alexandria via LeMat-Bulk).

Results
- Magnetization: 0.00 μB/f.u.
- Formation energy (no corrections): -678 meV per atom
- VASP energy: -3.69 eV/atom
- Space group: P2_1/m

```
Sr2BiSbPb
1.0
9.162 0.000 0.000
0.000 4.837 0.000
-4.499 0.000 8.276
Sr Bi Sb Pb
4 2 2 2
Cartesian
-1.114 1.209 2.743
2.508 3.628 2.319
2.154 1.209 5.958
5.776 3.628 5.534
-3.386 1.209 8.172
8.049 3.628 0.104
0.100 3.628 4.681
4.563 1.209 3.595
-0.665 3.628 7.563
5.328 1.209 0.713
```

# 14
# SrBiSbPb2

SrBiSbPb2 after structural relaxation (GGA-PBE, Alexandria via LeMat-Bulk).

Results
- Magnetization: 0.00 μB/f.u.
- Formation energy (no corrections): -308 meV per atom
- VASP energy: -3.73 eV/atom
- Space group: Cmcm

```
SrBiSbPb2
1.0
2.373 -8.760 0.000
2.373 8.760 0.000
0.000 0.000 9.678
Sr Bi Sb Pb
2 2 2 4
Cartesian
2.373 8.515 7.258
2.373 -8.515 2.419
2.373 4.881 7.258
2.373 -4.881 2.419
2.373 0.000 0.000
2.373 0.000 4.839
2.373 3.003 0.390
2.373 3.003 4.449
2.373 -3.003 5.229
2.373 -3.003 9.288
```

# 15
# Tb4BiSb2Pb

Tb4BiSb2Pb after structural relaxation (GGA-PBE, Alexandria via LeMat-Bulk).

Results
- Magnetization: 0.00 μB/f.u.
- Formation energy (no corrections): -877 meV per atom
- VASP energy: -5.17 eV/atom
- Space group: P2/m

```
Tb4BiSb2Pb
1.0
7.677 0.000 0.000
0.000 4.381 0.000
-2.504 0.000 7.358
Tb Bi Sb Pb
4 1 2 1
Cartesian
1.289 0.000 1.779
0.048 2.190 5.568
5.124 2.190 1.790
3.883 0.000 5.579
-1.252 0.000 3.679
0.000 2.190 0.000
3.838 0.000 0.000
2.586 2.190 3.679
```

# 16
# BiSbTePb

BiSbTePb after structural relaxation (GGA-PBE, Alexandria via LeMat-Bulk).

Results
- Magnetization: 0.00 μB/f.u.
- Formation energy (no corrections): -137 meV per atom
- VASP energy: -3.85 eV/atom
- Space group: Cm

```
BiSbTePb
1.0
3.841 -2.217 0.000
3.841 2.217 0.000
-2.572 0.000 8.584
Bi Sb Te Pb
1 1 1 1
Cartesian
0.000 0.000 0.000
2.549 0.000 6.963
5.109 0.000 2.846
-0.012 0.000 4.533
```

# 17
# Th4BiSbPb2

Th4BiSbPb2 after structural relaxation (GGA-PBE, Alexandria via LeMat-Bulk).

Results
- Magnetization: 0.00 μB/f.u.
- Formation energy (no corrections): -503 meV per atom
- VASP energy: -6.14 eV/atom
- Space group: P2/m

```
Th4BiSbPb2
1.0
7.886 0.000 0.000
0.000 4.579 0.000
-2.665 0.000 7.474
Th Bi Sb Pb
4 1 1 2
Cartesian
1.292 0.000 1.832
-0.039 2.290 5.634
5.261 2.290 1.840
3.929 0.000 5.642
2.611 2.290 3.737
3.943 0.000 0.000
-1.333 0.000 3.737
0.000 2.290 0.000
```

# 18
# Th6BiSb3Pb2

Th6BiSb3Pb2 after structural relaxation (GGA-PBE, Alexandria via LeMat-Bulk).

Results
- Magnetization: 0.00 μB/f.u.
- Formation energy (no corrections): -638 meV per atom
- VASP energy: -6.32 eV/atom
- Space group: C2/m

```
Th6BiSb3Pb2
1.0
9.917 -2.274 0.000
9.917 2.274 0.000
-2.082 0.000 8.851
Th Bi Sb Pb
6 1 3 2
Cartesian
-0.495 0.000 2.151
5.682 0.000 3.696
4.711 0.000 8.102
13.041 0.000 0.749
12.070 0.000 5.155
18.247 0.000 6.699
8.876 0.000 4.425
2.589 0.000 2.944
9.917 0.000 0.000
15.163 0.000 5.907
1.562 0.000 7.364
16.190 0.000 1.487
```

# 19
# Tl2BiSb2Pb

Tl2BiSb2Pb after structural relaxation (GGA-PBE, Alexandria via LeMat-Bulk).

Results
- Magnetization: 0.00 μB/f.u.
- Formation energy (no corrections): 27 meV per atom
- VASP energy: -3.40 eV/atom
- Space group: Pmc2_1

```
Tl2BiSb2Pb
1.0
4.507 0.000 0.000
0.000 10.110 0.000
0.000 0.000 8.704
Tl Bi Sb Pb
4 2 4 2
Cartesian
0.000 0.783 0.000
0.000 9.328 4.352
2.253 1.810 2.482
2.253 8.300 6.834
0.000 3.050 4.789
0.000 7.061 0.437
0.000 4.121 1.492
0.000 5.989 5.844
2.253 1.535 6.306
2.253 8.576 1.954
2.253 4.309 7.879
2.253 5.801 3.527
```

# 20
# TlBiSbPb3

TlBiSbPb3 after structural relaxation (GGA-PBE, Alexandria via LeMat-Bulk).

Results
- Magnetization: 0.00 μB/f.u.
- Formation energy (no corrections): 36 meV per atom
- VASP energy: -3.55 eV/atom
- Space group: P2_1/m

```
TlBiSbPb3
1.0
8.961 0.000 0.000
0.000 4.501 0.000
-3.709 0.000 9.795
Tl Bi Sb Pb
2 2 2 6
Cartesian
-1.351 1.125 3.763
6.604 3.376 6.032
-2.591 1.125 8.445
7.844 3.376 1.349
1.597 1.125 7.103
3.656 3.376 2.691
1.493 1.125 1.832
1.163 3.376 4.822
-0.276 3.376 8.858
5.529 1.125 0.937
4.089 1.125 4.972
3.760 3.376 7.962
```